No. 1
# Ho2Ga9Ru3 (PBE-GGA, optimized geometry)
data_Ho2Ga9Ru3
_chemical_formula_sum 'Ho4 Ga18 Ru6'
_symmetry_space_group_name_H-M 'P 1'
_symmetry_Int_Tables_number 1
_cell_length_a 7.471
_cell_length_b 7.471
_cell_length_c 9.700
_cell_angle_alpha 90.00
_cell_angle_beta 90.00
_cell_angle_gamma 119.23
loop_
_symmetry_equiv_pos_as_xyz
'x,y,z'
loop_
_atom_site_label
_atom_site_fract_x
_atom_site_fract_y
_atom_site_fract_z
Ga1 0.132 0.132 0.250
Ga2 0.009 0.337 0.423
Ga3 0.991 0.663 0.923
Ga4 0.663 0.991 0.923
Ga5 0.662 0.662 0.062
Ga6 0.991 0.663 0.577
Ga7 0.337 0.009 0.423
Ga8 0.555 0.339 0.250
Ga9 0.663 0.991 0.577
Ga10 0.445 0.661 0.750
Ga11 0.337 0.009 0.077
Ga12 0.339 0.555 0.250
Ga13 0.661 0.445 0.750
Ga14 0.338 0.338 0.562
Ga15 0.868 0.868 0.750
Ga16 0.662 0.662 0.438
Ga17 0.338 0.338 0.938
Ga18 0.009 0.337 0.077
Ru1 0.324 0.676 0.500
Ru2 0.676 0.324 0.500
Ru3 0.000 0.000 0.500
Ru4 0.324 0.676 0.000
Ru5 0.000 0.000 0.000
Ru6 0.676 0.324 0.000
Ho1 0.002 0.325 0.750
Ho2 0.675 0.998 0.250
Ho3 0.325 0.002 0.750
Ho4 0.998 0.675 0.250
# Total magnetic moment (μB/f.u.): 0.000
# Total energy (hartree per atom): -0.1883
# Density of states at the Fermi level (states/eV/cell): 13.07
# Calculated formation energy (meV/atom): -536
# Space group: Cmcm, No. 63

No. 2
# HoScGaRu (PBE-GGA, optimized geometry)
data_HoScGaRu
_chemical_formula_sum 'Ho1 Sc1 Ga1 Ru1'
_symmetry_space_group_name_H-M 'P 1'
_symmetry_Int_Tables_number 1
_cell_length_a 4.780
_cell_length_b 4.780
_cell_length_c 4.780
_cell_angle_alpha 60.00
_cell_angle_beta 60.00
_cell_angle_gamma 60.00
loop_
_symmetry_equiv_pos_as_xyz
'x,y,z'
loop_
_atom_site_label
_atom_site_fract_x
_atom_site_fract_y
_atom_site_fract_z
Ho1 0.500 0.500 0.500
Sc1 0.000 0.000 0.000
Ru1 0.750 0.750 0.750
Ga1 0.250 0.250 0.250
# Total magnetic moment (μB/f.u.): 0.000
# Total energy (hartree per atom): -0.2319
# Density of states at the Fermi level (states/eV/cell): 2.98
# Calculated formation energy (meV/atom): -508
# Space group: F-43m, No. 216

No. 3
# HoGa2SiRu2 (PBE-GGA, optimized geometry)
data_HoGa2SiRu2
_chemical_formula_sum 'Ho1 Ga2 Si1 Ru2'
_symmetry_space_group_name_H-M 'P 1'
_symmetry_Int_Tables_number 1
_cell_length_a 4.424
_cell_length_b 4.424
_cell_length_c 5.579
_cell_angle_alpha 90.00
_cell_angle_beta 90.00
_cell_angle_gamma 90.00
loop_
_symmetry_equiv_pos_as_xyz
'x,y,z'
loop_
_atom_site_label
_atom_site_fract_x
_atom_site_fract_y
_atom_site_fract_z
Si1 0.000 0.000 0.000
Ru1 0.000 0.500 0.000
Ru2 0.500 0.000 0.000
Ga1 0.500 0.500 0.728
Ga2 0.500 0.500 0.272
Ho1 0.000 0.000 0.500
# Total magnetic moment (μB/f.u.): 0.000
# Total energy (hartree per atom): -0.2254
# Density of states at the Fermi level (states/eV/cell): 4.07
# Uncorrected formation energy (meV/atom): -364.6
# Space group: P4/mmm, No. 123

No. 4
# Ho3Ga2SiRu3 (PBE-GGA, optimized geometry)
data_Ho3Ga2SiRu3
_chemical_formula_sum 'Ho3 Ga2 Si1 Ru3'
_symmetry_space_group_name_H-M 'P 1'
_symmetry_Int_Tables_number 1
_cell_length_a 3.498
_cell_length_b 7.345
_cell_length_c 7.345
_cell_angle_alpha 120.00
_cell_angle_beta 90.00
_cell_angle_gamma 90.00
loop_
_symmetry_equiv_pos_as_xyz
'x,y,z'
loop_
_atom_site_label
_atom_site_fract_x
_atom_site_fract_y
_atom_site_fract_z
Ho1 0.000 0.613 0.613
Ho2 0.000 0.000 0.387
Ho3 0.000 0.387 0.000
Ru1 0.500 0.241 0.241
Ru2 0.500 0.759 0.000
Ru3 0.500 0.000 0.759
Ga1 0.500 0.667 0.333
Ga2 0.500 0.333 0.667
Si1 0.000 0.000 0.000
# Total magnetic moment (μB/f.u.): 0.000
# Total energy (hartree per atom): -0.2406
# Density of states at the Fermi level (states/eV/cell): 5.15
# Uncorrected formation energy (meV/atom): -654.0
# Space group: P-62m, No. 189

No. 5
# Ho2GaSi2Ru5 (PBE-GGA, optimized geometry)
data_Ho2GaSi2Ru5
_chemical_formula_sum 'Ho4 Ga2 Si4 Ru10'
_symmetry_space_group_name_H-M 'P 1'
_symmetry_Int_Tables_number 1
_cell_length_a 3.238
_cell_length_b 9.935
_cell_length_c 9.935
_cell_angle_alpha 90.00
_cell_angle_beta 90.00
_cell_angle_gamma 90.00
loop_
_symmetry_equiv_pos_as_xyz
'x,y,z'
loop_
_atom_site_label
_atom_site_fract_x
_atom_site_fract_y
_atom_site_fract_z
Ga1 0.000 0.500 0.500
Ga2 0.000 0.000 0.000
Ru1 0.500 0.567 0.707
Ru2 0.500 0.707 0.433
Ru3 0.500 0.207 0.067
Ru4 0.500 0.000 0.500
Ru5 0.500 0.793 0.933
Ru6 0.500 0.433 0.293
Ru7 0.500 0.500 0.000
Ru8 0.500 0.293 0.567
Ru9 0.500 0.933 0.207
Ru10 0.500 0.067 0.793
Si1 0.000 0.372 0.128
Si2 0.000 0.628 0.872
Si3 0.000 0.128 0.628
Si4 0.000 0.872 0.372
Ho1 0.000 0.673 0.173
Ho2 0.000 0.827 0.673
Ho3 0.000 0.173 0.327
Ho4 0.000 0.327 0.827
# Total magnetic moment (μB/f.u.): 0.000
# Total energy (hartree per atom): -0.2786
# Density of states at the Fermi level (states/eV/cell): 17.35
# Uncorrected formation energy (meV/atom): -640.5
# Space group: P4/mbm, No. 127

No. 6
# Ho2TaGa2Ru5 (PBE-GGA, optimized geometry)
data_Ho2TaGa2Ru5
_chemical_formula_sum 'Ho4 Ta2 Ga4 Ru10'
_symmetry_space_group_name_H-M 'P 1'
_symmetry_Int_Tables_number 1
_cell_length_a 3.336
_cell_length_b 10.095
_cell_length_c 10.095
_cell_angle_alpha 90.00
_cell_angle_beta 90.00
_cell_angle_gamma 90.00
loop_
_symmetry_equiv_pos_as_xyz
'x,y,z'
loop_
_atom_site_label
_atom_site_fract_x
_atom_site_fract_y
_atom_site_fract_z
Ho1 0.000 0.829 0.671
Ho2 0.000 0.329 0.829
Ho3 0.000 0.671 0.171
Ho4 0.000 0.171 0.329
Ga1 0.000 0.872 0.372
Ga2 0.000 0.128 0.628
Ga3 0.000 0.372 0.128
Ga4 0.000 0.628 0.872
Ru1 0.500 0.067 0.802
Ru2 0.500 0.302 0.567
Ru3 0.500 0.567 0.698
Ru4 0.500 0.500 0.000
Ru5 0.500 0.933 0.198
Ru6 0.500 0.802 0.933
Ru7 0.500 0.433 0.302
Ru8 0.500 0.198 0.067
Ru9 0.500 0.698 0.433
Ru10 0.500 0.000 0.500
Ta1 0.000 0.500 0.500
Ta2 0.000 0.000 0.000
# Total magnetic moment (μB/f.u.): 0.000
# Total energy (hartree per atom): -0.2851
# Density of states at the Fermi level (states/eV/cell): 16.34
# Calculated formation energy (meV/atom): -413
# Space group: P4/mbm, No. 127

No. 7
# TbHoGaRu (PBE-GGA, optimized geometry)
data_TbHoGaRu
_chemical_formula_sum 'Tb1 Ho1 Ga1 Ru1'
_symmetry_space_group_name_H-M 'P 1'
_symmetry_Int_Tables_number 1
_cell_length_a 3.870
_cell_length_b 4.341
_cell_length_c 5.683
_cell_angle_alpha 90.00
_cell_angle_beta 109.90
_cell_angle_gamma 90.00
loop_
_symmetry_equiv_pos_as_xyz
'x,y,z'
loop_
_atom_site_label
_atom_site_fract_x
_atom_site_fract_y
_atom_site_fract_z
Ho1 0.859 0.500 0.718
Tb1 0.144 0.000 0.289
Ru1 0.430 0.000 0.861
Ga1 0.566 0.500 0.133
# Total magnetic moment (μB/f.u.): 0.000
# Total energy (hartree per atom): -0.2155
# Density of states at the Fermi level (states/eV/cell): 3.32
# Calculated formation energy (meV/atom): -487
# Space group: Amm2, No. 38

No. 8
# TbHoGaRu (PBE-GGA, optimized geometry)
data_TbHoGaRu
_chemical_formula_sum 'Tb1 Ho1 Ga1 Ru1'
_symmetry_space_group_name_H-M 'P 1'
_symmetry_Int_Tables_number 1
_cell_length_a 4.931
_cell_length_b 4.931
_cell_length_c 4.931
_cell_angle_alpha 60.00
_cell_angle_beta 60.00
_cell_angle_gamma 60.00
loop_
_symmetry_equiv_pos_as_xyz
'x,y,z'
loop_
_atom_site_label
_atom_site_fract_x
_atom_site_fract_y
_atom_site_fract_z
Tb1 0.500 0.500 0.500
Ga1 0.750 0.750 0.750
Ho1 0.000 0.000 0.000
Ru1 0.250 0.250 0.250
# Total magnetic moment (μB/f.u.): 0.000
# Total energy (hartree per atom): -0.2143
# Density of states at the Fermi level (states/eV/cell): 2.25
# Calculated formation energy (meV/atom): -455
# Space group: F-43m, No. 216

No. 9
# HoThGaRu (PBE-GGA, optimized geometry)
data_HoThGaRu
_chemical_formula_sum 'Ho1 Th1 Ga1 Ru1'
_symmetry_space_group_name_H-M 'P 1'
_symmetry_Int_Tables_number 1
_cell_length_a 5.033
_cell_length_b 5.033
_cell_length_c 5.033
_cell_angle_alpha 60.00
_cell_angle_beta 60.00
_cell_angle_gamma 60.00
loop_
_symmetry_equiv_pos_as_xyz
'x,y,z'
loop_
_atom_site_label
_atom_site_fract_x
_atom_site_fract_y
_atom_site_fract_z
Ho1 0.750 0.750 0.750
Ru1 0.000 0.000 0.000
Th1 0.250 0.250 0.250
Ga1 0.500 0.500 0.500
# Total magnetic moment (μB/f.u.): 0.000
# Total energy (hartree per atom): -0.2375
# Density of states at the Fermi level (states/eV/cell): 3.36
# Calculated formation energy (meV/atom): -387
# Space group: F-43m, No. 216

No. 10
# HoTmGaRu (PBE-GGA, optimized geometry)
data_HoTmGaRu
_chemical_formula_sum 'Ho1 Tm1 Ga1 Ru1'
_symmetry_space_group_name_H-M 'P 1'
_symmetry_Int_Tables_number 1
_cell_length_a 3.743
_cell_length_b 4.367
_cell_length_c 5.638
_cell_angle_alpha 90.00
_cell_angle_beta 109.38
_cell_angle_gamma 90.00
loop_
_symmetry_equiv_pos_as_xyz
'x,y,z'
loop_
_atom_site_label
_atom_site_fract_x
_atom_site_fract_y
_atom_site_fract_z
Tm1 0.143 0.000 0.285
Ga1 0.432 0.000 0.865
Ru1 0.572 0.500 0.143
Ho1 0.853 0.500 0.707
# Total magnetic moment (μB/f.u.): 0.000
# Total energy (hartree per atom): -0.2148
# Density of states at the Fermi level (states/eV/cell): 2.96
# Calculated formation energy (meV/atom): -508
# Space group: Amm2, No. 38